GGA-PBE Sr4MnSe, relaxed; uncorrected energy = -2.71 eV/atom; mass density = 3.17 g cm⁻³; uncorrected formation energy = 0.521 eV per atom
1.0
1.032 -5.563 4.301
-3.425 -6.110 -1.209
3.580 -5.679 -2.333
Sr Mn Se
4 1 1
direct
0.874 0.375 0.375
0.375 0.375 0.874
0.375 0.874 0.375
0.375 0.375 0.375
0.750 0.750 0.750
0.000 0.000 0.000

***

GGA-PBE YTiRe3, relaxed; uncorrected energy = -9.15 eV/atom; mass density = 11.52 g cm⁻³; ΔE_f = 5.96 eV/f.u.
1.0
-3.398 1.038 2.992
2.595 -1.603 3.503
1.816 4.234 0.592
Y Re Ti
1 3 1
direct
0.500 0.500 0.500
0.000 0.500 0.000
0.000 0.000 0.500
0.500 0.000 0.000
0.000 0.000 0.000

***

GGA-PBE Cs2RbTiSi, relaxed; uncorrected energy = -2.66 eV/atom; mass density = 2.49 g cm⁻³; uncorrected formation energy = 0.535 eV per atom
1.0
7.497 0.000 0.000
0.000 5.072 0.000
0.000 0.000 7.497
Cs Si Rb Ti
2 1 1 1
direct
0.000 0.000 0.500
0.500 0.000 0.000
0.000 0.000 0.000
0.500 0.500 0.500
0.000 0.500 0.000

***

GGA-PBE KCdAs2, relaxed; uncorrected energy = -2.95 eV/atom; mass density = 4.71 g cm⁻³; ΔE_f = -0.47 eV/f.u.
1.0
-0.749 3.507 1.533
1.233 -1.258 3.479
6.488 2.064 -1.552
As Cd K
2 1 1
direct
0.000 0.000 0.075
0.000 0.000 0.425
0.500 0.500 0.250
0.500 0.500 0.750